## Ca2CdCl (GGA-PBE)

Data for an optimized crystal structure of Ca2CdCl.

Cell: 6.815 6.815 4.881 Å, 90.01 90.01 31.93°
Fractional coordinates of all 4 atoms:
Ca 0.031 0.031 0.126
Cd 0.475 0.475 0.626
Ca 0.756 0.756 0.625
Cl 0.238 0.238 0.124

Space-group type: Cm
Energy above the most stable polymorph in this dataset in meV per atom: 136
Raw formation energy in eV/f.u.: -3.35

## Tb4Pm4Er5 (GGA-PBE)

Data for an optimized crystal structure of Tb4Pm4Er5.

Cell: 5.031 9.444 9.444 Å, 85.93 74.55 74.55°
Fractional coordinates of all 13 atoms:
Pm 0.383 0.695 0.538
Er 0.690 0.849 0.771
Er 0.310 0.151 0.229
Er 0.461 0.229 0.849
Er 0.000 0.000 0.000
Pm 0.079 0.538 0.305
Tb 0.847 0.924 0.382
Tb 0.771 0.382 0.076
Pm 0.921 0.462 0.695
Tb 0.153 0.076 0.618
Tb 0.229 0.618 0.924
Er 0.539 0.771 0.151
Pm 0.617 0.305 0.462

Space-group type: I4/m
ΔH_f (0 K) in eV per atom: 0.018

Looking at N(E_F) for the records above, in order, we have 2.76 18.02 states/eV/f.u..
Looking at magnetic moment for the records above, in order, we have 0.00 0.00 μB/f.u..